BaHgOs after structural relaxation. Source: Alexandria via LeMat-Bulk, functional PBE-GGA.

Summary:
The value obtained for the density of states at the Fermi level is 4.36 states/eV per cell. The energy relative to the lowest polymorph listed for this composition comes out at 450 meV per atom. As for the size of the total moment: 0.087 μB/f.u. As for the total energy: -3.41 eV/atom. The formation energy is 3.22 eV/f.u.

Cell and atoms, written as CIF:
```
data_BaHgOs
_chemical_formula_sum 'Ba1 Hg1 Os1'
_cell_length_a 3.4335
_cell_length_b 3.4335
_cell_length_c 7.5104
_cell_angle_alpha 90.00
_cell_angle_beta 90.00
_cell_angle_gamma 120.00
_symmetry_space_group_name_H-M 'P 3 m 1'
_symmetry_Int_Tables_number 156
loop_
_symmetry_equiv_pos_as_xyz
'x,y,z'
'-y,x-y,z'
'-x+y,-x,z'
'-y,-x,z'
'-x+y,y,z'
'x,x-y,z'
loop_
_atom_site_label
_atom_site_fract_x
_atom_site_fract_y
_atom_site_fract_z
Ba1 0.0000 0.0000 0.0000
Hg1 0.3333 0.6667 0.4042
Os1 0.6667 0.3333 0.6829
```